NiSe2, relaxed, DFT PBE-GGA; density of states at the Fermi level = 1.96 states/eV/f.u.; electronic total energy = -4.322 eV per atom
1.0
6.5013 -1.7455 0.0000
6.5013 1.7455 0.0000
-3.1751 0.0000 6.6172
Ni Se
2 4
direct
0.0000 0.0000 0.0000
0.5752 0.5752 0.2733
0.0925 0.0925 0.4913
0.2937 0.2937 0.6234
0.3786 0.3786 0.0053
0.6151 0.6151 0.9841

LaTmThMg, relaxed, DFT PBE-GGA; energy of formation = -0.045 eV/atom; density of states at the Fermi level = 4.22 states/eV/f.u.
1.0
3.6060 0.0000 0.0000
0.0000 3.6060 0.0000
0.0000 0.0000 9.4025
La Tm Th Mg
1 1 1 1
direct
0.0000 0.0000 0.0000
0.0000 0.0000 0.4862
0.5000 0.5000 0.7356
0.5000 0.5000 0.2602

CeZn4GaCu2, relaxed, DFT PBE-GGA; energy of formation = -0.096 eV/atom; density of states at the Fermi level = 7.00 states/eV/f.u.
1.0
2.1155 1.2214 8.9688
-2.1155 1.2214 8.9688
0.0000 -2.4427 8.9688
Ce Zn Ga Cu
1 4 1 2
direct
0.0000 0.0000 0.0000
0.1215 0.1215 0.1215
0.4018 0.4018 0.4018
0.5982 0.5982 0.5982
0.8785 0.8785 0.8785
0.5000 0.5000 0.5000
0.2449 0.2449 0.2449
0.7551 0.7551 0.7551

TaPd3Au, relaxed, DFT PBE-GGA; energy of formation = 0.921 eV/atom; density of states at the Fermi level = 3.09 states/eV/f.u.
1.0
4.8122 0.0000 0.0000
0.0000 4.8122 0.0000
0.0000 0.0000 4.8122
Ta Pd Au
1 3 1
direct
0.0000 0.0000 0.0000
0.0000 0.0000 0.5000
0.0000 0.5000 0.0000
0.5000 0.0000 0.0000
0.5000 0.5000 0.5000

MgTcO3, relaxed, DFT PBE-GGA; electronic total energy = -7.203 eV per atom
1.0
2.4334 1.4049 5.0968
-2.4334 1.4049 5.0968
0.0000 -2.8098 5.0968
Mg Tc O
2 2 6
direct
0.1538 0.1538 0.1538
0.8462 0.8462 0.8462
0.3400 0.3400 0.3400
0.6600 0.6600 0.6600
0.0670 0.7523 0.4270
0.2477 0.5730 0.9330
0.4270 0.0670 0.7523
0.5730 0.9330 0.2477
0.7523 0.4270 0.0670
0.9330 0.2477 0.5730

Q: Which magnetization values were calculated for the entries above? A: 0.00 0.00 0.10 0.00 0.00, in μB per atom.